[1]
Below is an optimized crystal structure of Ca3BS, with properties calculated at the PBE level.

- crystal system = cubic
- energy above the most stable polymorph in this dataset (meV per atom) = 0
- D(E_F) (states/eV per cell) = 3.893
- E_form (uncorrected) (eV per formula unit) = -1.406
- total magnetic moment (μB/f.u.) = 0.00

Lattice parameters (Å, degrees): 5.087 5.087 5.087 90.00 90.00 90.00
Sites, in units of the cell vectors:
Ca: 0.000 0.000 0.500
Ca: 0.000 0.500 0.000
Ca: 0.500 0.000 0.000
B: 0.000 0.000 0.000
S: 0.500 0.500 0.500



[2]
Below is an optimized crystal structure of CaBS3, with properties calculated at the PBE level.

- crystal system = cubic
- energy above the most stable polymorph in this dataset (meV per atom) = 0
- D(E_F) (states/eV per cell) = 2.433
- E_form (uncorrected) (eV per formula unit) = -1.123
- total magnetic moment (μB/f.u.) = 0.00

Lattice parameters (Å, degrees): 4.360 4.360 4.360 90.00 90.00 90.00
Sites, in units of the cell vectors:
Ca: 0.000 0.000 0.000
B: 0.500 0.500 0.500
S: 0.000 0.500 0.500
S: 0.500 0.000 0.500
S: 0.500 0.500 0.000



[3]
Below is an optimized crystal structure of CaB2S4, with properties calculated at the PBE level.

- crystal system = tetragonal
- energy above the most stable polymorph in this dataset (meV per atom) = 34
- D(E_F) (states/eV per cell) = 0.000
- E_form (uncorrected) (eV per formula unit) = -5.963
- total magnetic moment (μB/f.u.) = 0.00

Lattice parameters (Å, degrees): 5.704 5.704 5.704 101.84 101.84 126.14
Sites, in units of the cell vectors:
Ca: 0.000 0.000 0.000
B: 0.250 0.750 0.500
B: 0.750 0.250 0.500
S: 0.150 0.367 0.517
S: 0.367 0.850 0.217
S: 0.633 0.150 0.783
S: 0.850 0.633 0.483



[4]
Below is an optimized crystal structure of Ca2B2S, with properties calculated at the PBE level.

- crystal system = tetragonal
- D(E_F) (states/eV per cell) = 1.132
- E_form (uncorrected) (eV per formula unit) = -3.587
- total magnetic moment (μB/f.u.) = 0.00

Lattice parameters (Å, degrees): 5.153 5.153 3.236 90.00 90.00 90.00
Sites, in units of the cell vectors:
Ca: 0.000 0.500 0.000
Ca: 0.500 0.000 0.000
B: 0.000 0.000 0.000
B: 0.000 0.000 0.500
S: 0.500 0.500 0.500